Compound: CrSiP2
Source: Alexandria via LeMat-Bulk
Functional: PBE-GGA
Structure: relaxed

```
CrSiP2
1.0
4.177 0.011 0.000
-1.095 4.031 0.000
0.000 0.000 3.009
Si P Cr
1 2 1
Direct
0.500 0.000 0.500 Si
0.000 0.000 0.000 P
0.500 0.500 0.000 P
0.000 0.500 0.500 Cr
```

Calculated values
spin magnetization = 0.8 μB per formula unit
final energy = -0.455 Ry/atom
formation energy (no corrections) = 1.09 eV per formula unit
N(E_F) = 2.407 states/eV per cell
ρ = 4.650 Mg/m³